Entry 1:
# InTc2Br PBE-GGA optimized geometry
data_InTc2Br
_chemical_formula_sum 'In4 Tc8 Br4'
_cell_length_a 6.4972
_cell_length_b 6.4972
_cell_length_c 6.4972
_cell_angle_alpha 90.00
_cell_angle_beta 90.00
_cell_angle_gamma 90.00
_space_group_name_H-M_alt 'F m -3 m'
_space_group_IT_number 225
_space_group_name_Hall '-F 4 2 3'
loop_
_atom_site_label
_atom_site_fract_x
_atom_site_fract_y
_atom_site_fract_z
_atom_site_occupancy
In1 0.0000 0.0000 0.0000 1
Tc1 0.2500 0.2500 0.2500 1
Br1 0.0000 0.0000 0.5000 1
# Magnetization = 0.0 μB per formula unit
# Uncorrected energy = -85.23 eV for the cell shown
# ΔE_f (raw) = 0.959 eV per atom

---

Entry 2:
# InTc2Br PBE-GGA optimized geometry
data_InTc2Br
_chemical_formula_sum 'In1 Tc2 Br1'
_cell_length_a 2.9870
_cell_length_b 4.7113
_cell_length_c 5.1717
_cell_angle_alpha 90.00
_cell_angle_beta 90.00
_cell_angle_gamma 90.00
_space_group_name_H-M_alt 'P m m m'
_space_group_IT_number 47
loop_
_space_group_symop_operation_xyz
'x,y,z'
'-x,-y,-z'
'-x,-y,z'
'x,y,-z'
'x,-y,-z'
'-x,y,z'
'-x,y,-z'
'x,-y,z'
loop_
_atom_site_label
_atom_site_fract_x
_atom_site_fract_y
_atom_site_fract_z
_atom_site_occupancy
In1 0.0000 0.0000 0.0000 1
Tc1 0.0000 0.5000 0.5000 1
Tc2 0.5000 0.5000 0.0000 1
Br1 0.5000 0.0000 0.5000 1
# Magnetization = 1.8 μB per formula unit
# Uncorrected energy = -21.76 eV for the cell shown
# ΔE_f (raw) = 0.846 eV per atom